## NaYPS2 (PBE)

Data for a geometry-optimized NaYPS2 structure.

a = 4.845 Å, b = 4.845 Å, c = 4.666 Å
α = 90.00°, β = 90.00°, γ = 90.00°
Fractional coordinates of all 5 atoms:
Y 0.500 0.500 0.500
P 0.000 0.000 0.500
S 0.000 0.500 0.000
S 0.500 0.000 0.000
Na 0.000 0.000 0.000

Offset from the most stable computed form (eV/atom): 0.509
Crystal system: tetragonal
E_form (uncorrected) (eV/f.u.): 0.249